Below is crystalline ReHW2 at its relaxed geometry, with properties calculated at the PBE level.

a b c (Å): 7.2235 7.2235 7.2235
angles (deg): 22.74 22.74 22.74
Element x y z (fractional)
Re: 0.0000 0.0000 0.0000
H: 0.5000 0.5000 0.5000
W: 0.2276 0.2276 0.2276
W: 0.7724 0.7724 0.7724

Values from the calculation:
VASP energy = -10.254 eV/atom
SG = R-3m (166)